First-principles (PBE) data for an optimized crystal structure of MnCu2W, as listed in the Alexandria database.

- crystal system = tetragonal
- SG = P4/mmm
- calculated volume (Å³/f.u.) = 50.6
- DOS(E_F) (states/eV/cell) = 1.85
- energy of formation from the pure elements (meV/atom) = 293
- magnetization (μB per atom) = 0.000

abc: 3.502 3.502 4.128
angles: 90.00 90.00 90.00
Positions (direct):
Mn (0.000, 0.000, 0.000)
Cu (0.000, 0.500, 0.500)
Cu (0.500, 0.000, 0.500)
W (0.500, 0.500, 0.000)